Compound: K3P
Source: Alexandria
Functional: PBE
Structure: relaxed

Calculated total energy: -2.063 eV per atom
Density of states at the Fermi level: 2.55 states/eV per cell
E_form: 0.113 eV/atom
Crystal system: hexagonal

a = 4.727 Å, b = 4.727 Å, c = 11.131 Å
α = 90.00°, β = 90.00°, γ = 120.00°
Site moments in Bohr magnetons follow the coordinates.
Sites, in units of the cell vectors:
1 P 0.667 0.333 0.750  0.45
2 K 0.000 0.000 0.907  0.01
3 K 0.667 0.333 0.250  0.00
4 K 0.000 0.000 0.593  0.01

***

Compound: KP
Source: Alexandria
Functional: PBE
Structure: relaxed

Calculated total energy: -2.663 eV per atom
Offset from the most stable computed form: 2.02 eV per formula unit
Density of states at the Fermi level: 0.81 states/eV per cell
E_form: 0.590 eV/atom
Crystal system: cubic

a = 4.746 Å, b = 4.746 Å, c = 4.746 Å
α = 60.00°, β = 60.00°, γ = 60.00°
Site moments in Bohr magnetons follow the coordinates.
Sites, in units of the cell vectors:
1 P 0.500 0.500 0.500  0.80
2 K 0.000 0.000 0.000  0.03

***

Compound: KP
Source: Alexandria
Functional: PBE
Structure: relaxed

Calculated total energy: -3.603 eV per atom
Offset from the most stable computed form: 0.14 eV per formula unit
E_form: -0.349 eV/atom
Crystal system: orthorhombic

a = 13.168 Å, b = 5.166 Å, c = 6.438 Å
α = 90.00°, β = 90.00°, γ = 90.00°
Sites, in units of the cell vectors:
1 K 0.798 0.500 0.169
2 P 0.137 0.500 0.665
3 K 0.000 0.000 0.838
4 K 0.202 0.500 0.169
5 K 0.500 0.500 0.338
6 P 0.637 0.000 0.165
7 P 0.000 0.500 0.497
8 P 0.863 0.500 0.665
9 P 0.500 0.000 0.997
10 K 0.702 0.000 0.669
11 P 0.363 0.000 0.165
12 K 0.298 0.000 0.669

***

Compound: KPaP2
Source: Alexandria
Functional: PBE
Structure: relaxed

Calculated total energy: -6.235 eV per atom
Offset from the most stable computed form: 0.00 eV per formula unit
E_form: -0.881 eV/atom
Crystal system: trigonal

a = 4.179 Å, b = 4.179 Å, c = 7.797 Å
α = 74.46°, β = 74.46°, γ = 60.00°
Sites, in units of the cell vectors:
1 P 0.728 0.728 0.817
2 P 0.272 0.272 0.183
3 Pa 0.000 0.000 0.000
4 K 0.500 0.500 0.500

***

Compound: KPaP2
Source: Alexandria
Functional: PBE
Structure: relaxed

Calculated total energy: -6.204 eV per atom
Offset from the most stable computed form: 0.12 eV per formula unit
E_form: -0.851 eV/atom
Crystal system: trigonal

a = 4.162 Å, b = 4.162 Å, c = 7.945 Å
α = 74.81°, β = 74.81°, γ = 60.00°
Sites, in units of the cell vectors:
1 P 0.061 0.061 0.816
2 Pa 0.668 0.668 0.997
3 K 0.497 0.497 0.509
4 P 0.274 0.274 0.178

***

Compound: KPaP2Pt2
Source: Alexandria
Functional: PBE
Structure: relaxed

Calculated total energy: -6.498 eV per atom
Density of states at the Fermi level: 2.79 states/eV per cell
E_form: -0.915 eV/atom
Crystal system: trigonal

a = 4.166 Å, b = 4.166 Å, c = 8.839 Å
α = 90.00°, β = 90.00°, γ = 120.00°
Sites, in units of the cell vectors:
1 Pt 0.333 0.667 0.306
2 Pa 0.000 0.000 0.500
3 P 0.333 0.667 0.722
4 Pt 0.667 0.333 0.694
5 P 0.667 0.333 0.278
6 K 0.000 0.000 0.000

***

Compound: KPaP2S8
Source: Alexandria
Functional: PBE
Structure: relaxed

Calculated total energy: -5.226 eV per atom
Raw formation energy: -690 meV/atom
Crystal system: trigonal

a = 6.180 Å, b = 6.180 Å, c = 10.377 Å
α = 72.68°, β = 72.68°, γ = 60.00°
Sites, in units of the cell vectors:
1 P 0.255 0.255 0.235
2 P 0.745 0.745 0.765
3 Pa 0.000 0.000 0.000
4 S 0.812 0.812 0.564
5 S 0.409 0.707 0.840
6 S 0.293 0.956 0.160
7 S 0.188 0.188 0.436
8 K 0.500 0.500 0.500
9 S 0.044 0.409 0.840
10 S 0.956 0.591 0.160
11 S 0.591 0.293 0.160
12 S 0.707 0.044 0.840

***

Compound: KPaP2Se8
Source: Alexandria
Functional: PBE
Structure: relaxed

Calculated total energy: -4.614 eV per atom
Raw formation energy: -506 meV/atom
Crystal system: trigonal

a = 6.536 Å, b = 6.536 Å, c = 10.519 Å
α = 71.90°, β = 71.90°, γ = 60.00°
Sites, in units of the cell vectors:
1 Se 0.939 0.597 0.163
2 Se 0.301 0.939 0.163
3 Se 0.597 0.301 0.163
4 Se 0.403 0.699 0.837
5 Pa 0.000 0.000 0.000
6 Se 0.819 0.819 0.543
7 P 0.253 0.253 0.241
8 P 0.747 0.747 0.759
9 K 0.500 0.500 0.500
10 Se 0.061 0.403 0.837
11 Se 0.181 0.181 0.457
12 Se 0.699 0.061 0.837

***

Compound: KP2Pb
Source: Alexandria
Functional: PBE
Structure: relaxed

Calculated total energy: -3.995 eV per atom
Density of states at the Fermi level: 2.30 states/eV per cell
E_form: -0.088 eV/atom
Crystal system: tetragonal

a = 4.111 Å, b = 4.106 Å, c = 6.797 Å
α = 90.00°, β = 90.00°, γ = 90.00°
Sites, in units of the cell vectors:
1 P 0.000 0.000 0.091
2 Pb 0.500 0.500 0.250
3 P 0.000 0.000 0.409
4 K 0.500 0.500 0.750

***

Compound: KP2Pb
Source: Alexandria
Functional: PBE
Structure: relaxed

Calculated total energy: -3.968 eV per atom
Density of states at the Fermi level: 0.30 states/eV per cell
E_form: -0.062 eV/atom
Crystal system: monoclinic

a = 4.499 Å, b = 4.122 Å, c = 6.397 Å
α = 71.47°, β = 90.00°, γ = 90.00°
Sites, in units of the cell vectors:
1 K 0.500 0.779 0.813
2 Pb 0.000 0.500 0.378
3 P 0.500 0.071 0.234
4 P 0.000 0.150 0.075

***

Compound: KP2Pb
Source: Alexandria
Functional: PBE
Structure: relaxed

Calculated total energy: -3.573 eV per atom
Density of states at the Fermi level: 1.90 states/eV per cell
E_form: 0.333 eV/atom
Crystal system: orthorhombic

a = 5.518 Å, b = 5.518 Å, c = 5.508 Å
α = 130.27°, β = 130.27°, γ = 73.10°
Sites, in units of the cell vectors:
1 Pb 0.750 0.250 0.500
2 P 0.500 0.500 0.000
3 K 0.250 0.750 0.500
4 P 0.000 0.000 0.000

***

Compound: KP2Pb
Source: Alexandria
Functional: PBE
Structure: relaxed

Calculated total energy: -3.889 eV per atom
Density of states at the Fermi level: 2.19 states/eV per cell
E_form: 0.017 eV/atom
Crystal system: orthorhombic

a = 6.220 Å, b = 6.220 Å, c = 6.220 Å
α = 148.99°, β = 124.92°, γ = 64.56°
Sites, in units of the cell vectors:
1 Pb 0.543 0.543 0.000
2 K 0.233 0.733 0.500
3 P 0.934 0.934 0.000
4 P 0.789 0.289 0.500

***

Repeat the seventh record exactly.
Compound: KPaP2S8
Source: Alexandria
Functional: PBE
Structure: relaxed

Calculated total energy: -5.226 eV per atom
Raw formation energy: -690 meV/atom
Crystal system: trigonal

a = 6.180 Å, b = 6.180 Å, c = 10.377 Å
α = 72.68°, β = 72.68°, γ = 60.00°
Sites, in units of the cell vectors:
1 P 0.255 0.255 0.235
2 P 0.745 0.745 0.765
3 Pa 0.000 0.000 0.000
4 S 0.812 0.812 0.564
5 S 0.409 0.707 0.840
6 S 0.293 0.956 0.160
7 S 0.188 0.188 0.436
8 K 0.500 0.500 0.500
9 S 0.044 0.409 0.840
10 S 0.956 0.591 0.160
11 S 0.591 0.293 0.160
12 S 0.707 0.044 0.840